No. 1
The following is a PBE calculation of a relaxed structure of Pm3BeBi, from the Alexandria database.

Values from the calculation:
As for the volume: 30.00 Å³/atom. Its formation energy is -0.7 eV/f.u. The total energy comes out at -4.520 eV per atom. Its total moment is 0.0 Bohr magnetons per cell.

Unit cell a=5.3131 b=5.3131 c=5.3131 alpha=90.00 beta=90.00 gamma=90.00
Last column: nearest neighbours and their distance in Å.
Atoms (fractional coordinates):
Pm  0.0000  0.0000  0.5000  2 Be 2.66
Pm  0.0000  0.5000  0.0000  2 Be 2.66
Pm  0.5000  0.0000  0.0000  2 Be 2.66
Be  0.0000  0.0000  0.0000  6 Pm 2.66
Bi  0.5000  0.5000  0.5000  12 Pm 3.76

No. 2
The following is a PBE calculation of a relaxed structure of HgB2AsO8, from the Alexandria database.

Values from the calculation:
As for the volume: 10.93 Å³/atom. The total energy comes out at -5.902 eV per atom. Its total moment is 3.0 Bohr magnetons per cell.

Unit cell a=4.5465 b=4.5465 c=6.9573 alpha=94.06 beta=94.06 gamma=66.29
Last column: nearest neighbours and their distance in Å.
Atoms (fractional coordinates):
Hg  0.0000  0.0000  0.0000  2 O 2.11
B  0.3469  0.3469  0.2996  4 O 1.45-1.49
B  0.6531  0.6531  0.7004  4 O 1.45-1.49
As  0.0000  0.0000  0.5000  6 O 1.85-1.86
O  0.2203  0.7048  0.3074  1 B 1.49
O  0.2382  0.2382  0.4632  1 B 1.46
O  0.2684  0.2684  0.1020  1 B 1.45
O  0.2952  0.7797  0.6926  1 B 1.49
O  0.7048  0.2203  0.3074  1 B 1.49
O  0.7316  0.7316  0.8980  1 B 1.45
O  0.7618  0.7618  0.5368  1 B 1.46
O  0.7797  0.2952  0.6926  1 B 1.49

No. 3
The following is a PBE calculation of a relaxed structure of Tb5YIr6, from the Alexandria database.

Values from the calculation:
As for the volume: 20.35 Å³/atom. Its formation energy is -9.4 eV/f.u. The total energy comes out at -7.681 eV per atom. Its total moment is 0.0 Bohr magnetons per cell.

Unit cell a=7.5288 b=7.5288 c=7.1851 alpha=90.00 beta=90.00 gamma=143.16
Last column: nearest neighbours and their distance in Å.
Atoms (fractional coordinates):
Tb  0.0000  0.0000  0.0000  8 Ir 2.98
Tb  0.3334  0.6666  0.0000  8 Ir 2.98
Tb  0.3335  0.6665  0.5000  8 Ir 2.98
Tb  0.6666  0.3334  0.0000  8 Ir 2.98
Tb  0.6665  0.3335  0.5000  8 Ir 2.98
Y  0.0000  0.0000  0.5000  8 Ir 2.98
Ir  0.1667  0.8333  0.2498  7 Tb 2.98, 1 Y 2.98
Ir  0.1667  0.8333  0.7502  7 Tb 2.98, 1 Y 2.98
Ir  0.5000  0.5000  0.2499  6 Tb 2.98, 2 Y 2.98
Ir  0.5000  0.5000  0.7501  6 Tb 2.98, 2 Y 2.98
Ir  0.8333  0.1667  0.2498  7 Tb 2.98, 1 Y 2.98
Ir  0.8333  0.1667  0.7502  7 Tb 2.98, 1 Y 2.98

No. 4
The following is a PBE calculation of a relaxed structure of YHo2Ni9, from the Alexandria database.

Values from the calculation:
As for the volume: 14.38 Å³/atom. Its formation energy is -5.0 eV/f.u. The total energy comes out at -6.055 eV per atom. Its total moment is 1.0 Bohr magnetons per cell.

Unit cell a=8.5880 b=8.5880 c=8.5880 alpha=33.57 beta=33.57 gamma=33.57
Last column: nearest neighbours and their distance in Å.
Atoms (fractional coordinates):
Y  0.0000  0.0000  0.0000  18 Ni 2.86-3.19
Ho  0.1391  0.1391  0.1391  12 Ni 2.84-3.07, 3 Ho 3.16
Ho  0.8609  0.8609  0.8609  12 Ni 2.84-3.07, 3 Ho 3.16
Ni  0.0811  0.5829  0.5829  7 Ni 2.45-2.50
Ni  0.3331  0.3331  0.3331  6 Ni 2.45-2.47
Ni  0.4171  0.4171  0.9189  7 Ni 2.45-2.50
Ni  0.4171  0.9189  0.4171  7 Ni 2.45-2.50
Ni  0.5000  0.5000  0.5000  6 Ni 2.50
Ni  0.5829  0.0811  0.5829  7 Ni 2.45-2.50
Ni  0.5829  0.5829  0.0811  7 Ni 2.45-2.50
Ni  0.6669  0.6669  0.6669  6 Ni 2.45-2.47
Ni  0.9189  0.4171  0.4171  7 Ni 2.45-2.50